# 1
Material: Tl2ZnFeBr
Method: DFT, PBE
State: optimized geometry

Lattice parameters (Å, degrees): 6.098 6.098 5.097 90.00 90.00 90.00
Last column: magnetic moment on the atom in μB.
Element x y z (fractional)
Br 0.000 0.000 0.000  0.00
Tl 0.000 0.500 0.000  -0.03
Zn 0.000 0.000 0.500  0.01
Tl 0.500 0.000 0.000  -0.03
Fe 0.500 0.500 0.500  3.30

Values from the calculation:
DOS(E_F): 8.33 states/eV/f.u.
Final energy: -2.330 eV/atom
ΔE_f (raw): 0.90 eV/atom
SG: P4/mmm (123)



# 2
Material: Ca2La6Sm3
Method: DFT, PBE
State: optimized geometry

Lattice parameters (Å, degrees): 3.726 3.726 33.896 86.85 86.85 60.00
Element x y z (fractional)
Sm 0.274 0.274 0.177
Sm 0.000 0.000 0.000
La 0.819 0.819 0.543
La 0.088 0.088 0.736
La 0.637 0.637 0.088
Sm 0.726 0.726 0.823
La 0.912 0.912 0.264
Ca 0.547 0.547 0.360
La 0.363 0.363 0.912
Ca 0.453 0.453 0.640
La 0.181 0.181 0.457

Values from the calculation:
DOS(E_F): 15.74 states/eV/f.u.
Final energy: -4.318 eV/atom
Formation energy: 0.021 eV per atom
SG: R-3m (166)